No. 1
This record from Alexandria via LeMat-Bulk describes an optimized crystal structure of Ce2GeI. The functional is GGA-PBE.

a b c (Å): 4.3684 4.3684 22.0301
angles (deg): 90.00 90.00 120.00
Positions (direct):
Ce  0.0000  0.0000  0.2375
Ce  0.0000  0.0000  0.7625
Ce  0.3333  0.6667  0.4292
Ce  0.3333  0.6667  0.9041
Ce  0.6667  0.3333  0.0959
Ce  0.6667  0.3333  0.5708
Ge  0.0000  0.0000  0.5000
Ge  0.3333  0.6667  0.1667
Ge  0.6667  0.3333  0.8333
I  0.0000  0.0000  0.0000
I  0.3333  0.6667  0.6667
I  0.6667  0.3333  0.3333

Final energy   -5.37 eV/atom
Raw formation energy   -3.45 eV per formula unit

---

No. 2
This record from Alexandria via LeMat-Bulk describes an optimized crystal structure of Ce4GeI5. The functional is GGA-PBE.

a b c (Å): 9.8891 9.8891 9.1125
angles (deg): 101.66 101.66 25.12
Positions (direct):
Ce  0.9998  0.9998  0.2197
Ce  0.0002  0.0002  0.7803
Ce  0.3447  0.3447  0.9297
Ce  0.6553  0.6553  0.0703
Ge  0.5000  0.5000  0.0000
I  0.1680  0.1680  0.3366
I  0.1706  0.1706  0.8125
I  0.5000  0.5000  0.5000
I  0.8294  0.8294  0.1875
I  0.8320  0.8320  0.6634

Final energy   -4.73 eV/atom
Raw formation energy   -11.23 eV per formula unit

---

No. 3
This record from Alexandria via LeMat-Bulk describes an optimized crystal structure of Ce4GeI4. The functional is GGA-PBE.

a b c (Å): 8.1596 8.1596 8.1596
angles (deg): 124.62 124.62 82.17
Positions (direct):
Ce  0.0491  0.6523  0.0000
Ce  0.3477  0.3477  0.3968
Ce  0.6523  0.0491  0.0000
Ce  0.9509  0.9509  0.6032
Ge  0.0000  0.0000  0.0000
I  0.0000  0.5000  0.5000
I  0.3432  0.3432  0.0000
I  0.5000  0.0000  0.5000
I  0.6568  0.6568  0.0000

Final energy   -4.44 eV/atom
Raw formation energy   -5.41 eV per formula unit

---

No. 4
This record from Alexandria via LeMat-Bulk describes an optimized crystal structure of Ce2GeI3. The functional is GGA-PBE.

a b c (Å): 9.9433 9.9433 12.3929
angles (deg): 121.92 121.92 27.41
Positions (direct):
Ce  0.1099  0.1099  0.4353
Ce  0.3673  0.3673  0.2139
Ce  0.6327  0.6327  0.7861
Ce  0.8901  0.8901  0.5647
Ge  0.0578  0.0578  0.6184
Ge  0.9422  0.9422  0.3816
I  0.1640  0.1640  0.0003
I  0.2658  0.2658  0.3738
I  0.4575  0.4575  0.7780
I  0.5425  0.5425  0.2220
I  0.7342  0.7342  0.6262
I  0.8360  0.8360  0.9997

Final energy   -4.55 eV/atom
Raw formation energy   -6.15 eV per formula unit

---

No. 5
This record from Alexandria via LeMat-Bulk describes an optimized crystal structure of Ce2GeI2. The functional is GGA-PBE.

a b c (Å): 7.6184 7.6184 10.3585
angles (deg): 90.00 90.00 145.96
Positions (direct):
Ce  0.0000  0.0000  0.0000
Ce  0.0000  0.0000  0.5000
Ce  0.2915  0.7085  0.7500
Ce  0.7085  0.2915  0.2500
Ge  0.0830  0.9170  0.2500
Ge  0.9170  0.0830  0.7500
I  0.3468  0.6532  0.0664
I  0.3468  0.6532  0.4336
I  0.6532  0.3468  0.5664
I  0.6532  0.3468  0.9336

Final energy   -4.72 eV/atom
Raw formation energy   -4.01 eV per formula unit

---

No. 6
This record from Alexandria via LeMat-Bulk describes an optimized crystal structure of Ce8GeIr3I4. The functional is GGA-PBE.

a b c (Å): 9.2152 9.2152 9.2152
angles (deg): 54.78 54.78 54.78
Positions (direct):
Ce  0.2161  0.7364  0.7364
Ce  0.2298  0.2298  0.2298
Ce  0.2636  0.2636  0.7839
Ce  0.2636  0.7839  0.2636
Ce  0.7364  0.2161  0.7364
Ce  0.7364  0.7364  0.2161
Ce  0.7702  0.7702  0.7702
Ce  0.7839  0.2636  0.2636
Ge  0.5000  0.5000  0.5000
Ir  0.0000  0.0000  0.5000
Ir  0.0000  0.5000  0.0000
Ir  0.5000  0.0000  0.0000
I  0.0000  0.0000  0.0000
I  0.0000  0.5000  0.5000
I  0.5000  0.0000  0.5000
I  0.5000  0.5000  0.0000

Final energy   -6.18 eV/atom
Raw formation energy   -14.02 eV per formula unit

---

No. 7
This record from Alexandria via LeMat-Bulk describes an optimized crystal structure of CeGeIO4. The functional is GGA-PBE.

a b c (Å): 6.8269 6.8269 6.8753
angles (deg): 101.25 101.25 55.38
Positions (direct):
Ce  0.1979  0.1979  0.3248
Ce  0.8021  0.8021  0.6752
Ge  0.1305  0.1305  0.7562
Ge  0.8695  0.8695  0.2438
I  0.4608  0.4608  0.8024
I  0.5392  0.5392  0.1976
O  0.0184  0.0184  0.2806
O  0.0324  0.6068  0.3751
O  0.1918  0.1918  0.0131
O  0.3932  0.9676  0.6249
O  0.6068  0.0324  0.3751
O  0.8082  0.8082  0.9869
O  0.9676  0.3932  0.6249
O  0.9816  0.9816  0.7194

Final energy   -6.58 eV/atom
Raw formation energy   -14.15 eV per formula unit

---

No. 8
This record from Alexandria via LeMat-Bulk describes an optimized crystal structure of Ce8GeOs3I4. The functional is GGA-PBE.

a b c (Å): 9.2164 9.2164 9.2164
angles (deg): 54.30 54.30 54.30
Positions (direct):
Ce  0.2113  0.7373  0.7373
Ce  0.2300  0.2300  0.2300
Ce  0.2627  0.2627  0.7887
Ce  0.2627  0.7887  0.2627
Ce  0.7373  0.2113  0.7373
Ce  0.7373  0.7373  0.2113
Ce  0.7700  0.7700  0.7700
Ce  0.7887  0.2627  0.2627
Ge  0.5000  0.5000  0.5000
Os  0.0000  0.0000  0.5000
Os  0.0000  0.5000  0.0000
Os  0.5000  0.0000  0.0000
I  0.0000  0.0000  0.0000
I  0.0000  0.5000  0.5000
I  0.5000  0.0000  0.5000
I  0.5000  0.5000  0.0000

Final energy   -6.41 eV/atom
Raw formation energy   -10.56 eV per formula unit

---

No. 9
This record from Alexandria via LeMat-Bulk describes an optimized crystal structure of CePmGeI. The functional is GGA-PBE.

a b c (Å): 7.5633 7.5633 7.5633
angles (deg): 90.00 90.00 90.00
Positions (direct):
Ce  0.0000  0.0000  0.0000
Ce  0.0000  0.5000  0.5000
Ce  0.5000  0.0000  0.5000
Ce  0.5000  0.5000  0.0000
Pm  0.0000  0.0000  0.5000
Pm  0.0000  0.5000  0.0000
Pm  0.5000  0.0000  0.0000
Pm  0.5000  0.5000  0.5000
Ge  0.2500  0.2500  0.7500
Ge  0.2500  0.7500  0.2500
Ge  0.7500  0.2500  0.2500
Ge  0.7500  0.7500  0.7500
I  0.2500  0.2500  0.2500
I  0.2500  0.7500  0.7500
I  0.7500  0.2500  0.7500
I  0.7500  0.7500  0.2500

Final energy   -4.89 eV/atom
Raw formation energy   -2.72 eV per formula unit

---

No. 10
This record from Alexandria via LeMat-Bulk describes an optimized crystal structure of CePmGeI. The functional is GGA-PBE.

a b c (Å): 4.2835 4.2835 23.3333
angles (deg): 90.00 90.00 120.00
Positions (direct):
Ce  0.0000  0.0000  0.0000
Ce  0.3333  0.6667  0.6667
Ce  0.6667  0.3333  0.3333
Pm  0.0000  0.0000  0.1990
Pm  0.3333  0.6667  0.8657
Pm  0.6667  0.3333  0.5324
Ge  0.0000  0.0000  0.6011
Ge  0.3333  0.6667  0.2678
Ge  0.6667  0.3333  0.9344
I  0.0000  0.0000  0.4320
I  0.3333  0.6667  0.0987
I  0.6667  0.3333  0.7654

Final energy   -5.13 eV/atom
Raw formation energy   -3.67 eV per formula unit

---

No. 11
This record from Alexandria via LeMat-Bulk describes an optimized crystal structure of CePrGeI. The functional is GGA-PBE.

a b c (Å): 4.3140 4.3140 23.5121
angles (deg): 90.00 90.00 120.00
Positions (direct):
Ce  0.0000  0.0000  0.0000
Ce  0.3333  0.6667  0.6667
Ce  0.6667  0.3333  0.3333
Pr  0.0000  0.0000  0.1985
Pr  0.3333  0.6667  0.8652
Pr  0.6667  0.3333  0.5319
Ge  0.0000  0.0000  0.6022
Ge  0.3333  0.6667  0.2689
Ge  0.6667  0.3333  0.9355
I  0.0000  0.0000  0.4303
I  0.3333  0.6667  0.0970
I  0.6667  0.3333  0.7637

Final energy   -5.15 eV/atom
Raw formation energy   -3.71 eV per formula unit

---

No. 12
This record from Alexandria via LeMat-Bulk describes an optimized crystal structure of Ce8Ge3SI4. The functional is GGA-PBE.

a b c (Å): 8.9557 8.9557 8.9557
angles (deg): 57.13 57.13 57.13
Positions (direct):
Ce  0.2373  0.2373  0.2373
Ce  0.2471  0.7292  0.7292
Ce  0.2708  0.2708  0.7529
Ce  0.2708  0.7529  0.2708
Ce  0.7292  0.2471  0.7292
Ce  0.7292  0.7292  0.2471
Ce  0.7529  0.2708  0.2708
Ce  0.7627  0.7627  0.7627
Ge  0.0000  0.0000  0.5000
Ge  0.0000  0.5000  0.0000
Ge  0.5000  0.0000  0.0000
S  0.5000  0.5000  0.5000
I  0.0000  0.0000  0.0000
I  0.0000  0.5000  0.5000
I  0.5000  0.0000  0.5000
I  0.5000  0.5000  0.0000

Final energy   -5.49 eV/atom
Raw formation energy   -16.13 eV per formula unit

---

No. 13
This record from Alexandria via LeMat-Bulk describes an optimized crystal structure of Ce8Ge3SeI4. The functional is GGA-PBE.

a b c (Å): 8.9184 8.9184 8.9184
angles (deg): 58.19 58.19 58.19
Positions (direct):
Ce  0.2362  0.7378  0.7378
Ce  0.2373  0.2373  0.2373
Ce  0.2622  0.2622  0.7638
Ce  0.2622  0.7638  0.2622
Ce  0.7378  0.2362  0.7378
Ce  0.7378  0.7378  0.2362
Ce  0.7627  0.7627  0.7627
Ce  0.7638  0.2622  0.2622
Ge  0.0000  0.0000  0.5000
Ge  0.0000  0.5000  0.0000
Ge  0.5000  0.0000  0.0000
Se  0.5000  0.5000  0.5000
I  0.0000  0.0000  0.0000
I  0.0000  0.5000  0.5000
I  0.5000  0.0000  0.5000
I  0.5000  0.5000  0.0000

Final energy   -5.42 eV/atom
Raw formation energy   -15.71 eV per formula unit

---

No. 14
This record from Alexandria via LeMat-Bulk describes an optimized crystal structure of Ce6InGe. The functional is GGA-PBE.

a b c (Å): 4.7129 4.7129 9.3807
angles (deg): 90.00 90.00 90.00
Positions (direct):
Ce  0.0000  0.0000  0.0000
Ce  0.0000  0.0000  0.5000
Ce  0.0000  0.5000  0.2366
Ce  0.0000  0.5000  0.7634
Ce  0.5000  0.0000  0.2366
Ce  0.5000  0.0000  0.7634
In  0.5000  0.5000  0.5000
Ge  0.5000  0.5000  0.0000

Final energy   -5.67 eV/atom
ΔE_f   -2.378 eV per formula unit

---

No. 15
This record from Alexandria via LeMat-Bulk describes an optimized crystal structure of Ce7InGe2. The functional is GGA-PBE.

a b c (Å): 8.2983 8.2983 5.4673
angles (deg): 90.00 90.00 120.31
Positions (direct):
Ce  0.0000  0.0000  0.0000
Ce  0.2156  0.4498  0.0000
Ce  0.2576  0.7424  0.5000
Ce  0.4498  0.2156  0.0000
Ce  0.5502  0.7844  0.0000
Ce  0.7424  0.2576  0.5000
Ce  0.7844  0.5502  0.0000
In  0.5000  0.5000  0.5000
Ge  0.1988  0.8012  0.0000
Ge  0.8012  0.1988  0.0000

Final energy   -5.36 eV/atom
ΔE_f   -0.049 eV per formula unit

---

No. 16
This record from Alexandria via LeMat-Bulk describes an optimized crystal structure of Ce2In5Ge. The functional is GGA-PBE.

a b c (Å): 6.6665 13.2421 4.5473
angles (deg): 90.00 90.00 90.00
Positions (direct):
Ce  0.2169  0.1154  0.0000
Ce  0.2831  0.6154  0.0000
Ce  0.7169  0.3846  0.0000
Ce  0.7831  0.8846  0.0000
In  0.0000  0.5000  0.5000
In  0.0311  0.7513  0.5000
In  0.2227  0.3694  0.0000
In  0.2773  0.8694  0.0000
In  0.4689  0.2513  0.5000
In  0.5000  0.0000  0.5000
In  0.5311  0.7487  0.5000
In  0.7227  0.1306  0.0000
In  0.7773  0.6306  0.0000
In  0.9689  0.2487  0.5000
Ge  0.0000  0.0000  0.5000
Ge  0.5000  0.5000  0.5000

Final energy   -4.20 eV/atom
ΔE_f   -3.398 eV per formula unit

---

No. 17
This record from Alexandria via LeMat-Bulk describes an optimized crystal structure of Ce6In5Ge. The functional is GGA-PBE.

a b c (Å): 8.8908 8.8908 8.8908
angles (deg): 148.63 117.95 71.19
Positions (direct):
Ce  0.0804  0.3422  0.7382
Ce  0.2254  0.0000  0.2254
Ce  0.3961  0.6578  0.7382
Ce  0.6039  0.3422  0.2618
Ce  0.7746  0.0000  0.7746
Ce  0.9196  0.6578  0.2618
In  0.1844  0.1844  0.0000
In  0.3387  0.8387  0.5000
In  0.5000  0.5000  0.0000
In  0.6613  0.1613  0.5000
In  0.8156  0.8156  0.0000
Ge  0.0000  0.5000  0.5000

Final energy   -4.90 eV/atom
ΔE_f   -4.831 eV per formula unit

---

No. 18
This record from Alexandria via LeMat-Bulk describes an optimized crystal structure of CeIn2Ge. The functional is GGA-PBE.

a b c (Å): 3.3439 3.3439 33.2140
angles (deg): 90.00 90.00 120.00
Positions (direct):
Ce  0.0000  0.0000  0.0000
Ce  0.3333  0.6667  0.6667
Ce  0.6667  0.3333  0.3333
In  0.0000  0.0000  0.0970
In  0.0000  0.0000  0.9030
In  0.3333  0.6667  0.5697
In  0.3333  0.6667  0.7636
In  0.6667  0.3333  0.2364
In  0.6667  0.3333  0.4303
Ge  0.0000  0.0000  0.5000
Ge  0.3333  0.6667  0.1667
Ge  0.6667  0.3333  0.8333

Final energy   -3.81 eV/atom
ΔE_f   0.791 eV per formula unit

---

No. 19
This record from Alexandria via LeMat-Bulk describes an optimized crystal structure of Ce4InGe. The functional is GGA-PBE.

a b c (Å): 7.9301 9.1241 5.1325
angles (deg): 90.00 129.53 90.00
Positions (direct):
Ce  0.2484  0.1731  0.2697
Ce  0.2484  0.8269  0.2697
Ce  0.2516  0.3269  0.7303
Ce  0.2516  0.6731  0.7303
Ce  0.7484  0.3269  0.2697
Ce  0.7484  0.6731  0.2697
Ce  0.7516  0.1731  0.7303
Ce  0.7516  0.8269  0.7303
In  0.0000  0.5000  0.0000
In  0.5000  0.0000  0.0000
Ge  0.0000  0.0000  0.5000
Ge  0.5000  0.5000  0.5000

Final energy   -5.44 eV/atom
ΔE_f   -1.534 eV per formula unit

---

No. 20
This record from Alexandria via LeMat-Bulk describes an optimized crystal structure of Ce5InGe2. The functional is GGA-PBE.

a b c (Å): 6.0314 6.0314 17.5411
angles (deg): 90.00 90.00 138.73
Positions (direct):
Ce  0.0632  0.9368  0.6442
Ce  0.0632  0.9368  0.8558
Ce  0.3761  0.6239  0.2500
Ce  0.3856  0.6144  0.5247
Ce  0.3856  0.6144  0.9753
Ce  0.6144  0.3856  0.0247
Ce  0.6144  0.3856  0.4753
Ce  0.6239  0.3761  0.7500
Ce  0.9368  0.0632  0.1442
Ce  0.9368  0.0632  0.3558
In  0.3460  0.6540  0.7500
In  0.6540  0.3460  0.2500
Ge  0.2297  0.7703  0.1145
Ge  0.2297  0.7703  0.3855
Ge  0.7703  0.2297  0.6145
Ge  0.7703  0.2297  0.8855

Final energy   -5.48 eV/atom
ΔE_f   -2.214 eV per formula unit

---

No. 21
This record from Alexandria via LeMat-Bulk describes an optimized crystal structure of Ce2InGe3. The functional is GGA-PBE.

a b c (Å): 4.5404 6.1931 10.9171
angles (deg): 90.00 90.00 90.00
Positions (direct):
Ce  0.0000  0.0000  0.1764
Ce  0.0000  0.0000  0.8236
Ce  0.5000  0.5000  0.3236
Ce  0.5000  0.5000  0.6764
In  0.0000  0.0000  0.5000
In  0.5000  0.5000  0.0000
Ge  0.0000  0.5000  0.1609
Ge  0.0000  0.5000  0.5000
Ge  0.0000  0.5000  0.8391
Ge  0.5000  0.0000  0.0000
Ge  0.5000  0.0000  0.3391
Ge  0.5000  0.0000  0.6609

Final energy   -5.06 eV/atom
ΔE_f   -1.896 eV per formula unit

---

No. 22
This record from Alexandria via LeMat-Bulk describes an optimized crystal structure of Ce4In2Ge. The functional is GGA-PBE.

a b c (Å): 4.6038 22.2302 3.6413
angles (deg): 90.00 90.00 90.00
Positions (direct):
Ce  0.0000  0.0610  0.0000
Ce  0.0000  0.3521  0.5000
Ce  0.0000  0.6479  0.5000
Ce  0.0000  0.9390  0.0000
Ce  0.5000  0.1479  0.5000
Ce  0.5000  0.4390  0.0000
Ce  0.5000  0.5610  0.0000
Ce  0.5000  0.8521  0.5000
In  0.0000  0.2110  0.0000
In  0.0000  0.7890  0.0000
In  0.5000  0.2890  0.0000
In  0.5000  0.7110  0.0000
Ge  0.0000  0.5000  0.5000
Ge  0.5000  0.0000  0.5000

Final energy   -5.15 eV/atom
ΔE_f   -2.230 eV per formula unit

---

No. 23
This record from Alexandria via LeMat-Bulk describes an optimized crystal structure of Ce2InGe. The functional is GGA-PBE.

a b c (Å): 3.9378 3.9378 6.6264
angles (deg): 90.00 90.00 90.00
Positions (direct):
Ce  0.0000  0.0000  0.2076
Ce  0.0000  0.0000  0.7924
In  0.5000  0.5000  0.5000
Ge  0.5000  0.5000  0.0000

Final energy   -5.34 eV/atom
ΔE_f   -2.120 eV per formula unit